Record 1
NiRuCl2 PBEsol relaxed; ΔE_f (raw) = 0.64 eV/atom
1.0
4.2579 0.0000 0.0000
0.0000 4.2579 0.0000
0.0000 0.0000 3.0002
Ni Ru Cl
1 1 2
direct
0.0000 0.0000 0.0000
0.5000 0.5000 0.0000
0.0000 0.5000 0.5000
0.5000 0.0000 0.5000

=====

Record 2
NiRuCl2 PBEsol relaxed; ΔE_f (raw) = 0.51 eV/atom
1.0
2.8822 -3.7918 0.0000
2.8822 3.7918 0.0000
-1.3729 0.0000 2.7613
Ni Ru Cl
1 1 2
direct
0.0000 0.0000 0.0000
0.5000 0.5000 0.0000
0.0000 0.5000 0.0000
0.5000 0.0000 0.0000

=====

Record 3
NiRuCl2 PBEsol relaxed; ΔE_f (raw) = 0.41 eV/atom
1.0
1.4955 0.8634 7.0834
-1.4955 0.8634 7.0834
0.0000 -1.7268 7.0834
Ni Ru Cl
1 1 2
direct
0.0000 0.0000 0.0000
0.5000 0.5000 0.5000
0.2569 0.2569 0.2569
0.7431 0.7431 0.7431

=====

Record 4
NiRu2Cl PBEsol relaxed; ΔE_f (raw) = 0.74 eV/atom
1.0
4.2541 0.0000 0.0000
0.0000 4.2541 0.0000
0.0000 0.0000 2.7989
Ni Ru Cl
1 2 1
direct
0.0000 0.0000 0.0000
0.0000 0.5000 0.5000
0.5000 0.0000 0.5000
0.5000 0.5000 0.0000

=====

Record 5
NiRu3Cl PBEsol relaxed; ΔE_f (raw) = 1.35 eV/atom
1.0
4.2274 0.0000 0.0000
0.0000 4.2274 0.0000
0.0000 0.0000 4.2274
Ni Ru Cl
1 3 1
direct
0.0000 0.0000 0.0000
0.0000 0.5000 0.5000
0.5000 0.0000 0.5000
0.5000 0.5000 0.0000
0.5000 0.5000 0.5000

=====

Record 6
NiRu2Cl PBEsol relaxed; ΔE_f (raw) = 0.87 eV/atom
1.0
0.0000 2.9828 2.9828
2.9828 0.0000 2.9828
2.9828 2.9828 0.0000
Ni Ru Cl
1 2 1
direct
0.0000 0.0000 0.0000
0.5000 0.5000 0.5000
0.7500 0.7500 0.7500
0.2500 0.2500 0.2500

=====

Record 7
NiRu2Cl PBEsol relaxed; ΔE_f (raw) = 0.59 eV/atom
1.0
1.3677 -2.3944 0.0000
1.3677 2.3944 0.0000
0.0000 0.0000 8.2846
Ni Ru Cl
1 2 1
direct
0.0000 0.0000 0.0000
0.0000 0.0000 0.5113
0.5000 0.5000 0.2518
0.5000 0.5000 0.7703

=====

Record 8
NiRuCl2 PBEsol relaxed; ΔE_f (raw) = 0.61 eV/atom
1.0
-1.6748 1.6748 5.4564
1.6748 -1.6748 5.4564
1.6748 1.6748 -5.4564
Ni Ru Cl
1 1 2
direct
0.0000 0.0000 0.0000
0.7500 0.2500 0.5000
0.2500 0.7500 0.5000
0.5000 0.5000 0.0000

=====

Record 9
NiRuCl2 PBEsol relaxed; ΔE_f (raw) = 0.44 eV/atom
1.0
1.4371 -2.7143 0.0000
1.4371 2.7143 0.0000
0.0000 0.0000 7.5042
Ni Ru Cl
1 1 2
direct
0.0000 0.0000 0.0000
0.0000 0.0000 0.5000
0.5000 0.5000 0.2412
0.5000 0.5000 0.7588

=====

Record 10
Ta2NiRuCl PBEsol relaxed; ΔE_f (raw) = 0.95 eV/atom
1.0
4.4183 0.0000 0.0000
0.0000 4.4183 0.0000
0.0000 0.0000 4.2072
Ta Ni Ru Cl
2 1 1 1
direct
0.0000 0.5000 0.0000
0.5000 0.0000 0.0000
0.0000 0.0000 0.5000
0.5000 0.5000 0.5000
0.5000 0.5000 0.0000

=====

Record 11
Ni2SeSCl PBEsol relaxed; ΔE_f (raw) = 0.70 eV/atom
1.0
4.4312 0.0000 0.0000
0.0000 4.4312 0.0000
0.0000 0.0000 4.7950
Ni Se S Cl
2 1 1 1
direct
0.0000 0.5000 0.0000
0.5000 0.0000 0.0000
0.0000 0.0000 0.0000
0.0000 0.0000 0.5000
0.5000 0.5000 0.5000

=====

Record 12
TlNiSCl2 PBEsol relaxed; ΔE_f (raw) = 0.62 eV/atom
1.0
5.1401 0.0000 0.0000
0.0000 5.1401 0.0000
0.0000 0.0000 5.0966
Tl Ni S Cl
1 1 1 2
direct
0.0000 0.0000 0.0000
0.5000 0.5000 0.5000
0.0000 0.0000 0.5000
0.0000 0.5000 0.0000
0.5000 0.0000 0.0000

=====

Record 13
Ni2SbCl PBEsol relaxed; ΔE_f (raw) = -0.08 eV/atom
1.0
3.2538 0.0000 0.0000
0.0000 3.8936 0.0000
0.0000 0.0000 5.5336
Ni Sb Cl
2 1 1
direct
0.0000 0.0000 0.0000
0.0000 0.5000 0.2635
0.5000 0.5000 0.9020
0.0000 0.0000 0.4308

=====

Record 14
NiSbCl2 PBEsol relaxed; ΔE_f (raw) = 0.26 eV/atom
1.0
0.0000 3.3063 3.3063
3.3063 0.0000 3.3063
3.3063 3.3063 0.0000
Ni Sb Cl
1 1 2
direct
0.0000 0.0000 0.0000
0.7500 0.7500 0.7500
0.2500 0.2500 0.2500
0.5000 0.5000 0.5000

=====

Record 15
NiSbCl PBEsol relaxed; ΔE_f (raw) = 0.21 eV/atom
1.0
0.0000 3.1054 3.1054
3.1054 0.0000 3.1054
3.1054 3.1054 0.0000
Ni Sb Cl
1 1 1
direct
0.0000 0.0000 0.0000
0.2500 0.2500 0.2500
0.7500 0.7500 0.7500

=====

Record 16
NiSbCl2 PBEsol relaxed; ΔE_f (raw) = -0.20 eV/atom
1.0
1.8857 -2.8017 0.0000
1.8857 2.8017 0.0000
0.0000 0.0000 7.9505
Ni Sb Cl
1 1 2
direct
0.0000 0.0000 0.0000
0.5000 0.5000 0.1992
0.0000 0.0000 0.4597
0.5000 0.5000 0.8399

=====

Record 17
NiSbCl2 PBEsol relaxed; ΔE_f (raw) = -0.14 eV/atom
1.0
1.5662 -2.9872 0.0000
1.5662 2.9872 0.0000
0.0000 0.0000 8.9255
Ni Sb Cl
1 1 2
direct
0.0000 0.0000 0.0000
0.0000 0.0000 0.5000
0.5000 0.5000 0.1704
0.5000 0.5000 0.8296

=====

Record 18
NiSbCl2 PBEsol relaxed; ΔE_f (raw) = 0.17 eV/atom
1.0
3.1385 0.0000 0.0000
0.0000 4.3837 0.0000
0.0000 0.0000 5.3701
Ni Sb Cl
1 1 2
direct
0.0000 0.0000 0.0000
0.5000 0.0000 0.5000
0.0000 0.5000 0.5000
0.5000 0.5000 0.0000

=====

Record 19
Tc2NiSbCl PBEsol relaxed; ΔE_f (raw) = 0.92 eV/atom
1.0
4.4362 0.0000 0.0000
0.0000 4.4362 0.0000
0.0000 0.0000 4.0336
Tc Ni Sb Cl
2 1 1 1
direct
0.0000 0.5000 0.0000
0.5000 0.0000 0.0000
0.0000 0.0000 0.5000
0.5000 0.5000 0.5000
0.0000 0.0000 0.0000

=====

Record 20
Sc2NiCl PBEsol relaxed; ΔE_f (raw) = -0.66 eV/atom
1.0
4.9700 -1.5786 0.0000
4.9700 1.5786 0.0000
-0.5168 0.0000 4.2037
Sc Ni Cl
2 1 1
direct
0.0000 0.0000 0.0000
0.7260 0.7260 0.5538
0.4667 0.4667 0.4965
0.2662 0.2662 0.0691

=====

What did we get for Fermi-level density of states? Answer: 4.708, 4.759, 4.166, 4.558, 5.239, 6.289, 5.832, 5.095, 4.683, 5.415, 9.129, 4.898, 1.940, 4.651, 1.177, 2.029, 3.433, 3.131, 6.730, 3.027 states/eV/cell, in the order shown.